(1)
A plane-wave DFT calculation with PBE-GGA was carried out for an optimized crystal structure of Hf2ZrGa.

Properties
symmetry	P4/mmm (123)
energy relative to the lowest polymorph listed for this composition	0.00	eV/f.u.

Unit cell a=4.3465 b=4.3232 c=4.3232 alpha=90.00 beta=90.00 gamma=90.00
Fractional positions:
Zr (0.5000, 0.5000, 0.5000)
Ga (0.5000, 0.0000, 0.0000)
Hf (0.0000, 0.5000, 0.0000)
Hf (0.0000, 0.0000, 0.5000)



(2)
A plane-wave DFT calculation with PBE-GGA was carried out for an optimized crystal structure of Hf3Zr2Ga2.

Properties
symmetry	C2/m (12)

Unit cell a=3.9651 b=5.6140 c=7.3775 alpha=106.47 beta=90.00 gamma=110.68
Fractional positions:
Hf (0.6285, 0.2570, 0.4458)
Hf (0.5000, 0.0000, 0.0000)
Hf (0.3715, 0.7430, 0.5542)
Zr (0.1367, 0.2734, 0.7855)
Zr (0.8633, 0.7266, 0.2145)
Ga (0.1695, 0.3389, 0.1943)
Ga (0.8305, 0.6611, 0.8057)



(3)
A plane-wave DFT calculation with PBE-GGA was carried out for an optimized crystal structure of Hf2Zr2Ga7.

Properties
symmetry	C2/m (12)

Unit cell a=7.1432 b=4.3309 c=7.1432 alpha=102.24 beta=98.34 gamma=77.76
Fractional positions:
Ga (0.4583, 0.2739, 0.5417)
Ga (0.5050, 0.2095, 0.8996)
Ga (0.0000, 0.0000, 0.0000)
Ga (0.5417, 0.7261, 0.4583)
Ga (0.1004, 0.2095, 0.4950)
Ga (0.8996, 0.7905, 0.5050)
Ga (0.4950, 0.7905, 0.1004)
Hf (0.7478, 0.2281, 0.2522)
Hf (0.2522, 0.7719, 0.7478)
Zr (0.1913, 0.5000, 0.1913)
Zr (0.8087, 0.5000, 0.8087)



(4)
A plane-wave DFT calculation with PBE-GGA was carried out for an optimized crystal structure of Hf3ZrGa3.

Properties
symmetry	R-3 (148)

Unit cell a=8.0659 b=8.0659 c=6.7493 alpha=53.31 beta=53.31 gamma=60.00
Fractional positions:
Hf (0.8739, 0.3219, 0.7345)
Hf (0.0698, 0.8739, 0.7345)
Hf (0.1261, 0.6781, 0.2655)
Hf (0.3219, 0.0698, 0.7345)
Hf (0.6781, 0.9302, 0.2655)
Hf (0.9302, 0.1261, 0.2655)
Ga (0.5378, 0.3835, 0.2415)
Ga (0.8372, 0.5378, 0.2415)
Ga (0.4622, 0.6165, 0.7585)
Ga (0.6165, 0.1628, 0.7585)
Ga (0.3835, 0.8372, 0.2415)
Ga (0.1628, 0.4622, 0.7585)
Zr (0.2650, 0.2650, 0.2050)
Zr (0.7350, 0.7350, 0.7950)



no.,ΔE_f (eV per formula unit),magnetization (μB/f.u.)
1,-1.07,0.000
2,-2.00,0.000
3,-2.68,0.000
4,-2.48,0.000